Entry 1:
Here is a relaxed AlAg6 crystal from Alexandria via LeMat-Bulk. Energies are from PBEsol.

a = 2.8844 Å, b = 2.8844 Å, c = 16.0344 Å
α = 84.84°, β = 84.84°, γ = 60.00°
Last column: nearest neighbours and their distance in Å.
Atoms (fractional coordinates):
Ag  0.7881  0.7881  0.6357  3 Al 2.73, 9 Ag 2.87-2.88
Ag  0.0726  0.0726  0.7823  12 Ag 2.85-2.88
Ag  0.6425  0.6425  0.0724  12 Ag 2.85-2.88
Ag  0.9274  0.9274  0.2177  12 Ag 2.85-2.88
Ag  0.2119  0.2119  0.3643  3 Al 2.73, 9 Ag 2.87-2.88
Ag  0.3575  0.3575  0.9276  12 Ag 2.85-2.88
Al  0.5000  0.5000  0.5000  6 Ag 2.73, 6 Al 2.88

- formation enthalpy at 0 K (eV per atom) = -0.02
- energy above the lowest structure with this stoichiometry (meV/atom) = 31

***

Entry 2:
Here is a relaxed AsP2Cl2 crystal from Alexandria via LeMat-Bulk. Energies are from PBEsol.

a = 3.1910 Å, b = 3.1910 Å, c = 10.1800 Å
α = 99.02°, β = 99.02°, γ = 90.00°
Last column: nearest neighbours and their distance in Å.
Atoms (fractional coordinates):
Cl  0.4166  0.4166  0.8333  4 As 2.80
Cl  0.5834  0.5834  0.1667  4 As 2.80
P  0.7500  0.2500  0.5000  4 P 2.26
P  0.2500  0.7500  0.5000  4 P 2.26
As  0.0000  0.0000  0.0000  8 Cl 2.80

- raw formation energy (eV/atom) = 0.2439